No. 1
Density functional theory data (PBE) for an optimized crystal structure of Tb2SbI3.

POSCAR file:
```
Tb2SbI3
1.0
9.4656 -2.2707 0.0000
9.4656 2.2707 0.0000
-8.0657 0.0000 11.2144
Tb Sb I
4 2 6
Direct
0.1046 0.1046 0.4485
0.3655 0.3655 0.1721
0.6345 0.6345 0.8279
0.8954 0.8954 0.5515
0.0919 0.0919 0.6613
0.9081 0.9081 0.3387
0.1627 0.1627 0.0196
0.2616 0.2616 0.3939
0.4455 0.4455 0.7494
0.5545 0.5545 0.2506
0.7384 0.7384 0.6061
0.8373 0.8373 0.9804
```

Values from the calculation:
raw total energy	-4.16	eV per atom



No. 2
Density functional theory data (PBE) for an optimized crystal structure of Sc3Zn9Ni2.

POSCAR file:
```
Sc3Zn9Ni2
1.0
-2.1210 4.6229 5.6518
2.1210 -4.6229 5.6518
2.1210 4.6229 -5.6518
Sc Zn Ni
3 9 2
Direct
0.0000 0.0000 0.0000
0.2981 0.2981 0.0000
0.7019 0.7019 0.0000
0.0058 0.6407 0.3651
0.1451 0.8674 0.2777
0.2756 0.6407 0.6349
0.4103 0.1326 0.2777
0.5000 0.0000 0.5000
0.5897 0.8674 0.7223
0.7244 0.3593 0.3651
0.8549 0.1326 0.7223
0.9942 0.3593 0.6349
0.3480 0.5000 0.8480
0.6520 0.5000 0.1520
```

Values from the calculation:
raw total energy	-3.31	eV per atom
density of states at the Fermi level	0.69	states/eV/atom



No. 3
Density functional theory data (PBE) for an optimized crystal structure of PmPrTe2I.

POSCAR file:
```
PmPrTe2I
1.0
4.6651 0.0000 0.0000
0.0000 4.6651 0.0000
0.0000 0.0000 15.2953
Pm Pr Te I
2 2 4 2
Direct
0.2500 0.2500 0.0876
0.7500 0.7500 0.9124
0.2500 0.2500 0.6532
0.7500 0.7500 0.3468
0.2500 0.2500 0.2939
0.2500 0.2500 0.8799
0.7500 0.7500 0.1201
0.7500 0.7500 0.7061
0.2500 0.7500 0.5000
0.7500 0.2500 0.5000
```

Values from the calculation:
raw total energy	-4.71	eV per atom
density of states at the Fermi level	0.39	states/eV/atom



No. 4
Density functional theory data (PBE) for an optimized crystal structure of GdCd2Ni.

POSCAR file:
```
GdCd2Ni
1.0
1.5789 0.9116 10.3424
-1.5789 0.9116 10.3424
0.0000 -1.8232 10.3424
Gd Cd Ni
1 2 1
Direct
0.0000 0.0000 0.0000
0.1027 0.1027 0.1027
0.8973 0.8973 0.8973
0.5000 0.5000 0.5000
```

Values from the calculation:
raw total energy	-5.11	eV per atom
density of states at the Fermi level	0.76	states/eV/atom



No. 5
Density functional theory data (PBE) for an optimized crystal structure of Li2PmNdTe4.

POSCAR file:
```
Li2PmNdTe4
1.0
7.5389 0.0000 0.0000
0.0000 4.4517 0.0000
-2.6173 0.0000 7.2461
Li Pm Nd Te
2 1 1 4
Direct
0.0000 0.0000 0.0000
0.0000 0.5000 0.5000
0.5000 0.0000 0.5000
0.5000 0.5000 0.0000
0.2380 0.0000 0.7448
0.2389 0.5000 0.2480
0.7611 0.5000 0.7520
0.7620 0.0000 0.2552
```

Values from the calculation:
raw total energy	-4.54	eV per atom



No. 6
Density functional theory data (PBE) for an optimized crystal structure of YTm2Tl2Cd2.

POSCAR file:
```
YTm2Tl2Cd2
1.0
2.5027 1.4449 8.5929
-2.5027 1.4449 8.5929
0.0000 -2.8898 8.5929
Y Tm Tl Cd
1 2 2 2
Direct
0.0000 0.0000 0.0000
0.1343 0.1343 0.1343
0.8657 0.8657 0.8657
0.2694 0.2694 0.2694
0.7306 0.7306 0.7306
0.4326 0.4326 0.4326
0.5674 0.5674 0.5674
```

Values from the calculation:
raw total energy	-3.26	eV per atom
density of states at the Fermi level	0.69	states/eV/atom



No. 7
Density functional theory data (PBE) for an optimized crystal structure of PaTiCuTc.

POSCAR file:
```
PaTiCuTc
1.0
0.0000 3.2803 3.2803
3.2803 0.0000 3.2803
3.2803 3.2803 0.0000
Pa Ti Cu Tc
1 1 1 1
Direct
0.0000 0.0000 0.0000
0.5000 0.5000 0.5000
0.2500 0.2500 0.2500
0.7500 0.7500 0.7500
```

Values from the calculation:
raw total energy	-8.02	eV per atom
density of states at the Fermi level	1.65	states/eV/atom



No. 8
Density functional theory data (PBE) for an optimized crystal structure of Rb3Th3CuS8.

POSCAR file:
```
Rb3Th3CuS8
1.0
6.9269 -4.3396 0.0000
6.9269 4.3396 0.0000
-4.3995 0.0000 7.6977
Rb Th Cu S
3 3 1 8
Direct
0.0000 0.0000 0.0000
0.0000 0.5000 0.0000
0.5000 0.0000 0.0000
0.0000 0.5000 0.5000
0.5000 0.0000 0.5000
0.5000 0.5000 0.5000
0.0000 0.0000 0.5000
0.1907 0.1907 0.6503
0.2581 0.6868 0.7063
0.2649 0.2649 0.2994
0.3132 0.7419 0.2937
0.6868 0.2581 0.7063
0.7351 0.7351 0.7006
0.7419 0.3132 0.2937
0.8093 0.8093 0.3497
```

Values from the calculation:
raw total energy	-5.68	eV per atom